Entry 1:
VASP calculation (PBE) on a relaxed Ho4MnS7 crystal.

Geometry as CIF:
```
data_Ho4MnS7
_chemical_formula_sum 'Ho4 Mn1 S7'
_cell_length_a 6.531
_cell_length_b 6.531
_cell_length_c 11.423
_cell_angle_alpha 104.44
_cell_angle_beta 104.44
_cell_angle_gamma 33.74
_space_group_name_H-M_alt 'P 1'
_space_group_IT_number 1
loop_
_space_group_symop_operation_xyz
'x,y,z'
loop_
_atom_site_label
_atom_site_fract_x
_atom_site_fract_y
_atom_site_fract_z
Ho1 0.000 0.000 0.000
Ho2 0.386 0.386 0.596
Ho3 0.576 0.576 0.359
Ho4 0.693 0.693 0.799
Mn1 0.806 0.806 0.214
S1 0.033 0.033 0.742
S2 0.192 0.192 0.284
S3 0.354 0.354 0.845
S4 0.422 0.422 0.145
S5 0.657 0.657 0.018
S6 0.729 0.729 0.577
S7 0.946 0.946 0.433
```

Properties
Space-group type: No. 8
Formation energy (no corrections): -41.41 kcal/mol of atoms
Magnetization: 5.00 μB per formula unit

Entry 2:
VASP calculation (PBE) on a relaxed HoMn4S8 crystal.

Geometry as CIF:
```
data_HoMn4S8
_chemical_formula_sum 'Ho1 Mn4 S8'
_cell_length_a 7.496
_cell_length_b 7.496
_cell_length_c 7.496
_cell_angle_alpha 54.69
_cell_angle_beta 54.69
_cell_angle_gamma 54.69
_space_group_name_H-M_alt 'P 1'
_space_group_IT_number 1
loop_
_space_group_symop_operation_xyz
'x,y,z'
loop_
_atom_site_label
_atom_site_fract_x
_atom_site_fract_y
_atom_site_fract_z
Ho1 0.000 0.000 0.000
Mn1 0.000 0.000 0.500
Mn2 0.000 0.500 0.000
Mn3 0.500 0.000 0.000
Mn4 0.500 0.500 0.500
S1 0.229 0.739 0.739
S2 0.233 0.233 0.233
S3 0.261 0.261 0.771
S4 0.261 0.771 0.261
S5 0.739 0.229 0.739
S6 0.739 0.739 0.229
S7 0.767 0.767 0.767
S8 0.771 0.261 0.261
```

Properties
Space-group type: No. 166
Formation energy (no corrections): -18.40 kcal/mol of atoms
Magnetization: 11.87 μB per formula unit

Entry 3:
VASP calculation (PBE) on a relaxed HoMnSn2S5 crystal.

Geometry as CIF:
```
data_HoMnSn2S5
_chemical_formula_sum 'Ho2 Mn2 Sn4 S10'
_cell_length_a 9.124
_cell_length_b 9.124
_cell_length_c 12.748
_cell_angle_alpha 90.00
_cell_angle_beta 90.00
_cell_angle_gamma 155.13
_space_group_name_H-M_alt 'P 1'
_space_group_IT_number 1
loop_
_space_group_symop_operation_xyz
'x,y,z'
loop_
_atom_site_label
_atom_site_fract_x
_atom_site_fract_y
_atom_site_fract_z
Ho1 0.194 0.806 0.500
Ho2 0.806 0.194 0.000
Mn1 0.443 0.557 0.889
Mn2 0.557 0.443 0.389
Sn1 0.118 0.882 0.808
Sn2 0.150 0.850 0.143
Sn3 0.850 0.150 0.643
Sn4 0.882 0.118 0.308
S1 0.037 0.963 0.478
S2 0.300 0.700 0.149
S3 0.317 0.683 0.853
S4 0.344 0.656 0.498
S5 0.478 0.522 0.251
S6 0.522 0.478 0.751
S7 0.656 0.344 0.998
S8 0.683 0.317 0.353
S9 0.700 0.300 0.649
S10 0.963 0.037 0.978
```

Properties
Space-group type: No. 36
Formation energy (no corrections): -19.59 kcal/mol of atoms
Magnetization: 4.00 μB per formula unit

Entry 4:
VASP calculation (PBE) on a relaxed Sr2HoMnS5 crystal.

Geometry as CIF:
```
data_Sr2HoMnS5
_chemical_formula_sum 'Sr4 Ho2 Mn2 S10'
_cell_length_a 8.997
_cell_length_b 8.997
_cell_length_c 12.337
_cell_angle_alpha 90.00
_cell_angle_beta 90.00
_cell_angle_gamma 154.30
_space_group_name_H-M_alt 'P 1'
_space_group_IT_number 1
loop_
_space_group_symop_operation_xyz
'x,y,z'
loop_
_atom_site_label
_atom_site_fract_x
_atom_site_fract_y
_atom_site_fract_z
Sr1 0.120 0.880 0.500
Sr2 0.124 0.876 0.147
Sr3 0.876 0.124 0.647
Sr4 0.880 0.120 0.000
Ho1 0.202 0.798 0.843
Ho2 0.798 0.202 0.343
Mn1 0.445 0.555 0.244
Mn2 0.555 0.445 0.744
S1 0.039 0.961 0.834
S2 0.299 0.701 0.490
S3 0.318 0.682 0.188
S4 0.351 0.649 0.824
S5 0.500 0.500 0.082
S6 0.500 0.500 0.582
S7 0.649 0.351 0.324
S8 0.682 0.318 0.688
S9 0.701 0.299 0.990
S10 0.961 0.039 0.334
```

Properties
Space-group type: No. 36
Formation energy (no corrections): -38.27 kcal/mol of atoms
Magnetization: 4.00 μB per formula unit

Entry 5:
VASP calculation (PBE) on a relaxed HoMnTl2S4 crystal.

Geometry as CIF:
```
data_HoMnTl2S4
_chemical_formula_sum 'Ho2 Mn2 Tl4 S8'
_cell_length_a 8.109
_cell_length_b 8.109
_cell_length_c 8.109
_cell_angle_alpha 120.25
_cell_angle_beta 119.65
_cell_angle_gamma 90.09
_space_group_name_H-M_alt 'P 1'
_space_group_IT_number 1
loop_
_space_group_symop_operation_xyz
'x,y,z'
loop_
_atom_site_label
_atom_site_fract_x
_atom_site_fract_y
_atom_site_fract_z
Ho1 0.000 0.000 0.000
Ho2 0.500 0.000 0.500
Mn1 0.500 0.000 0.000
Mn2 0.500 0.500 0.500
Tl1 0.000 0.000 0.500
Tl2 0.000 0.500 0.000
Tl3 0.000 0.500 0.500
Tl4 0.500 0.500 0.000
S1 0.273 0.246 0.473
S2 0.273 0.800 0.027
S3 0.284 0.238 0.045
S4 0.307 0.762 0.545
S5 0.693 0.238 0.455
S6 0.716 0.762 0.955
S7 0.727 0.200 0.973
S8 0.727 0.754 0.527
```

Properties
Space-group type: No. 74
Formation energy (no corrections): -19.85 kcal/mol of atoms
Magnetization: 4.21 μB per formula unit

Entry 6:
VASP calculation (PBE) on a relaxed Ho3MnTl3S8 crystal.

Geometry as CIF:
```
data_Ho3MnTl3S8
_chemical_formula_sum 'Ho3 Mn1 Tl3 S8'
_cell_length_a 8.843
_cell_length_b 8.843
_cell_length_c 8.843
_cell_angle_alpha 52.03
_cell_angle_beta 52.03
_cell_angle_gamma 52.03
_space_group_name_H-M_alt 'P 1'
_space_group_IT_number 1
loop_
_space_group_symop_operation_xyz
'x,y,z'
loop_
_atom_site_label
_atom_site_fract_x
_atom_site_fract_y
_atom_site_fract_z
Ho1 0.000 0.500 0.500
Ho2 0.500 0.000 0.500
Ho3 0.500 0.500 0.000
Mn1 0.000 0.000 0.000
Tl1 0.000 0.000 0.500
Tl2 0.000 0.500 0.000
Tl3 0.500 0.000 0.000
S1 0.210 0.210 0.762
S2 0.210 0.762 0.210
S3 0.238 0.790 0.790
S4 0.267 0.267 0.267
S5 0.733 0.733 0.733
S6 0.762 0.210 0.210
S7 0.790 0.238 0.790
S8 0.790 0.790 0.238
```

Properties
Space-group type: No. 166
Formation energy (no corrections): -28.44 kcal/mol of atoms
Magnetization: 3.01 μB per formula unit

Entry 7:
VASP calculation (PBE) on a relaxed Ho2MnTl3S6 crystal.

Geometry as CIF:
```
data_Ho2MnTl3S6
_chemical_formula_sum 'Ho2 Mn1 Tl3 S6'
_cell_length_a 6.696
_cell_length_b 6.696
_cell_length_c 7.880
_cell_angle_alpha 99.13
_cell_angle_beta 99.13
_cell_angle_gamma 118.37
_space_group_name_H-M_alt 'P 1'
_space_group_IT_number 1
loop_
_space_group_symop_operation_xyz
'x,y,z'
loop_
_atom_site_label
_atom_site_fract_x
_atom_site_fract_y
_atom_site_fract_z
Ho1 0.165 0.835 0.000
Ho2 0.835 0.165 0.000
Mn1 0.500 0.500 0.000
Tl1 0.000 0.000 0.500
Tl2 0.328 0.672 0.500
Tl3 0.672 0.328 0.500
S1 0.137 0.438 0.819
S2 0.241 0.241 0.214
S3 0.438 0.137 0.819
S4 0.562 0.863 0.181
S5 0.759 0.759 0.786
S6 0.863 0.562 0.181
```

Properties
Space-group type: No. 12
Formation energy (no corrections): -25.56 kcal/mol of atoms
Magnetization: 4.00 μB per formula unit

Entry 8:
VASP calculation (PBE) on a relaxed Ho2TmMnS6 crystal.

Geometry as CIF:
```
data_Ho2TmMnS6
_chemical_formula_sum 'Ho2 Tm1 Mn1 S6'
_cell_length_a 6.551
_cell_length_b 6.673
_cell_length_c 7.003
_cell_angle_alpha 62.28
_cell_angle_beta 89.85
_cell_angle_gamma 62.22
_space_group_name_H-M_alt 'P 1'
_space_group_IT_number 1
loop_
_space_group_symop_operation_xyz
'x,y,z'
loop_
_atom_site_label
_atom_site_fract_x
_atom_site_fract_y
_atom_site_fract_z
Ho1 0.000 0.000 0.000
Ho2 0.497 0.003 0.509
Tm1 0.702 0.587 0.108
Mn1 0.198 0.597 0.595
S1 0.096 0.493 0.333
S2 0.304 0.746 0.810
S3 0.407 0.756 0.336
S4 0.577 0.097 0.829
S5 0.815 0.094 0.315
S6 0.929 0.499 0.800
```

Properties
Space-group type: No. 1
Formation energy (no corrections): -37.05 kcal/mol of atoms
Magnetization: 4.00 μB per formula unit